KYSc2 | PBE-GGA | relaxed

The energy above the most stable polymorph in this dataset comes out at 2.336 eV per formula unit. As for the formation energy: 0.87 eV per atom. The density of states at the Fermi level is 21.71 states/eV/cell. The final energy is -0.308 Ry per atom. The value obtained for the mass density is 2.84 Mg/m³.

The structure belongs to space group I-42d (No. 122); the cell edges are 4.6087, 4.6087 and 24.0121 Å and the angles 90.00°, 90.00° and 90.00°. The asymmetric unit holds K at (0.0000, 0.0000, 0.0000), Y at (0.0000, 0.0000, 0.5000) and Sc at (0.2340, 0.2500, 0.6250).